## LaAlCd (PBE)

Data for a geometry-optimized LaAlCd structure.

Values from the calculation:
The raw total energy is -41.22 eV per cell. As for the crystal system: cubic. The space group is F-43m, No. 216.

a = 6.9612 Å, b = 6.9612 Å, c = 6.9612 Å
α = 90.00°, β = 90.00°, γ = 90.00°
Atoms (fractional coordinates):
La  0.0000  0.0000  0.0000
La  0.0000  0.5000  0.5000
La  0.5000  0.0000  0.5000
La  0.5000  0.5000  0.0000
Al  0.2500  0.2500  0.7500
Al  0.2500  0.7500  0.2500
Al  0.7500  0.2500  0.2500
Al  0.7500  0.7500  0.7500
Cd  0.0000  0.0000  0.5000
Cd  0.0000  0.5000  0.0000
Cd  0.5000  0.0000  0.0000
Cd  0.5000  0.5000  0.5000

## AsOs (PBE)

Data for a geometry-optimized AsOs structure.

Values from the calculation:
The raw total energy is -59.28 eV per cell. As for the crystal system: cubic. The space group is F-43m, No. 216.

a = 5.4913 Å, b = 5.4913 Å, c = 5.4913 Å
α = 90.00°, β = 90.00°, γ = 90.00°
Atoms (fractional coordinates):
As  0.0000  0.0000  0.0000
As  0.0000  0.5000  0.5000
As  0.5000  0.0000  0.5000
As  0.5000  0.5000  0.0000
Os  0.2500  0.2500  0.7500
Os  0.2500  0.7500  0.2500
Os  0.7500  0.2500  0.2500
Os  0.7500  0.7500  0.7500

## LiNiTe2AuS (PBE)

Data for a geometry-optimized LiNiTe2AuS structure.

Values from the calculation:
The raw total energy is -44.50 eV per cell. As for the crystal system: orthorhombic. The space group is Cmcm, No. 63.

a = 6.7361 Å, b = 6.7361 Å, c = 10.3795 Å
α = 90.00°, β = 90.00°, γ = 147.55°
Atoms (fractional coordinates):
Li  0.1899  0.8101  0.7500
Li  0.8101  0.1899  0.2500
Ni  0.5000  0.5000  0.0000
Ni  0.5000  0.5000  0.5000
Te  0.1311  0.8689  0.0017
Te  0.1311  0.8689  0.4983
Te  0.8689  0.1311  0.5017
Te  0.8689  0.1311  0.9983
Au  0.1459  0.8541  0.2500
Au  0.8541  0.1459  0.7500
S  0.4445  0.5555  0.2500
S  0.5555  0.4445  0.7500

## Ta2NbZn (PBE)

Data for a geometry-optimized Ta2NbZn structure.

Values from the calculation:
As for the crystal system: cubic. The energy relative to the elements comes out at 0.6 eV per formula unit. The space group is F-43m, No. 216.

a = 6.5267 Å, b = 6.5267 Å, c = 6.5267 Å
α = 90.00°, β = 90.00°, γ = 90.00°
Atoms (fractional coordinates):
Ta  0.0000  0.0000  0.0000
Ta  0.0000  0.5000  0.5000
Ta  0.2500  0.2500  0.2500
Ta  0.2500  0.7500  0.7500
Ta  0.5000  0.0000  0.5000
Ta  0.5000  0.5000  0.0000
Ta  0.7500  0.2500  0.7500
Ta  0.7500  0.7500  0.2500
Nb  0.2500  0.2500  0.7500
Nb  0.2500  0.7500  0.2500
Nb  0.7500  0.2500  0.2500
Nb  0.7500  0.7500  0.7500
Zn  0.0000  0.0000  0.5000
Zn  0.0000  0.5000  0.0000
Zn  0.5000  0.0000  0.0000
Zn  0.5000  0.5000  0.5000